# SiMoRu PBE relaxed
# Crystal system: tetragonal
# Uncorrected formation energy: -389 meV per atom
# E_tot: -0.3270 hartree per atom
# Size of the total moment: 0.00 Bohr magnetons per cell
data_SiMoRu
_symmetry_space_group_name_H-M 'I 4 m m'
_symmetry_Int_Tables_number 107
_symmetry_space_group_name_Hall 'I 4 -2'
_cell_length_a 2.8973
_cell_length_b 2.8973
_cell_length_c 9.8413
_cell_angle_alpha 90.00
_cell_angle_beta 90.00
_cell_angle_gamma 90.00
loop_
_atom_site_label
_atom_site_type_symbol
_atom_site_fract_x
_atom_site_fract_y
_atom_site_fract_z
Si1 Si 0.0000 0.0000 0.0000
Mo1 Mo 0.0000 0.0000 0.6708
Ru1 Ru 0.0000 0.0000 0.3592

# K4LiU3Se8 PBE relaxed
# Crystal system: trigonal
# Uncorrected formation energy: -1268 meV per atom
# E_tot: -0.2029 hartree per atom
# Size of the total moment: 21.00 Bohr magnetons per cell
data_K4LiU3Se8
_symmetry_space_group_name_H-M 'R -3 m'
_symmetry_Int_Tables_number 166
_symmetry_space_group_name_Hall '-R 3 2"'
_cell_length_a 8.4631
_cell_length_b 8.4631
_cell_length_c 22.9180
_cell_angle_alpha 90.00
_cell_angle_beta 90.00
_cell_angle_gamma 120.00
loop_
_atom_site_label
_atom_site_type_symbol
_atom_site_fract_x
_atom_site_fract_y
_atom_site_fract_z
K1 K 0.0000 0.0000 0.0000
K2 K 0.0000 0.5000 0.0000
Li1 Li 0.0000 0.0000 0.5000
U1 U 0.0000 0.5000 0.5000
Se1 Se 0.0000 0.0000 0.2360
Se2 Se 0.0071 0.5036 0.7664

# SmTc3B3 PBE relaxed
# Crystal system: hexagonal
# Energy of formation from the pure elements: -0.22 eV/atom
# E_tot: -0.3015 hartree per atom
# Size of the total moment: 0.00 Bohr magnetons per cell
data_SmTc3B3
_symmetry_space_group_name_H-M 'P 63/m'
_symmetry_Int_Tables_number 176
_symmetry_space_group_name_Hall '-P 6c'
_cell_length_a 8.1816
_cell_length_b 8.1816
_cell_length_c 3.1107
_cell_angle_alpha 90.00
_cell_angle_beta 90.00
_cell_angle_gamma 120.00
loop_
_atom_site_label
_atom_site_type_symbol
_atom_site_fract_x
_atom_site_fract_y
_atom_site_fract_z
Sm1 Sm 0.3333 0.6667 0.2500
Tc1 Tc 0.0618 0.3056 0.7500
B1 B 0.0345 0.5674 0.7500

# Zn2CdPt PBE relaxed
# Crystal system: cubic
# Energy of formation from the pure elements: -0.18 eV/atom
# E_tot: -0.0940 hartree per atom
# Size of the total moment: 0.00 Bohr magnetons per cell
data_Zn2CdPt
_symmetry_space_group_name_H-M 'F -4 3 m'
_symmetry_Int_Tables_number 216
_symmetry_space_group_name_Hall 'F -4 2 3'
_cell_length_a 6.3994
_cell_length_b 6.3994
_cell_length_c 6.3994
_cell_angle_alpha 90.00
_cell_angle_beta 90.00
_cell_angle_gamma 90.00
loop_
_atom_site_label
_atom_site_type_symbol
_atom_site_fract_x
_atom_site_fract_y
_atom_site_fract_z
Zn1 Zn 0.0000 0.0000 0.0000
Zn2 Zn 0.2500 0.2500 0.2500
Cd1 Cd 0.2500 0.2500 0.7500
Pt1 Pt 0.0000 0.0000 0.5000

# BaDyAu2 PBE relaxed
# Crystal system: tetragonal
# Energy of formation from the pure elements: -0.64 eV/atom
# Polymorph energy (0 for the lowest one): 116.2 meV per atom
# E_tot: -0.1436 hartree per atom
# Size of the total moment: 0.00 Bohr magnetons per cell
data_BaDyAu2
_symmetry_space_group_name_H-M 'P 4/m m m'
_symmetry_Int_Tables_number 123
_symmetry_space_group_name_Hall '-P 4 2'
_cell_length_a 5.4379
_cell_length_b 5.4379
_cell_length_c 3.7007
_cell_angle_alpha 90.00
_cell_angle_beta 90.00
_cell_angle_gamma 90.00
loop_
_atom_site_label
_atom_site_type_symbol
_atom_site_fract_x
_atom_site_fract_y
_atom_site_fract_z
Ba1 Ba 0.0000 0.0000 0.0000
Dy1 Dy 0.5000 0.5000 0.0000
Au1 Au 0.0000 0.5000 0.5000

# Cd4PtW PBE relaxed
# Crystal system: cubic
# Energy of formation from the pure elements: 0.72 eV/atom
# E_tot: -0.1121 hartree per atom
# Size of the total moment: 14.49 Bohr magnetons per cell
data_Cd4PtW
_symmetry_space_group_name_H-M 'F -4 3 m'
_symmetry_Int_Tables_number 216
_symmetry_space_group_name_Hall 'F -4 2 3'
_cell_length_a 7.7872
_cell_length_b 7.7872
_cell_length_c 7.7872
_cell_angle_alpha 90.00
_cell_angle_beta 90.00
_cell_angle_gamma 90.00
loop_
_atom_site_label
_atom_site_type_symbol
_atom_site_fract_x
_atom_site_fract_y
_atom_site_fract_z
Cd1 Cd 0.1248 0.1248 0.1248
Pt1 Pt 0.2500 0.2500 0.7500
W1 W 0.0000 0.0000 0.5000

# CrRePt PBE relaxed
# Crystal system: tetragonal
# Energy of formation from the pure elements: 0.14 eV/atom
# Polymorph energy (0 for the lowest one): 152.0 meV per atom
# E_tot: -0.3392 hartree per atom
# Size of the total moment: 1.89 Bohr magnetons per cell
data_CrRePt
_symmetry_space_group_name_H-M 'I 4 m m'
_symmetry_Int_Tables_number 107
_symmetry_space_group_name_Hall 'I 4 -2'
_cell_length_a 3.1530
_cell_length_b 3.1530
_cell_length_c 8.7408
_cell_angle_alpha 90.00
_cell_angle_beta 90.00
_cell_angle_gamma 90.00
loop_
_atom_site_label
_atom_site_type_symbol
_atom_site_fract_x
_atom_site_fract_y
_atom_site_fract_z
Cr1 Cr 0.0000 0.0000 0.0000
Re1 Re 0.0000 0.0000 0.3667
Pt1 Pt 0.0000 0.0000 0.6776

# CsLaSeBr2 PBE relaxed
# Crystal system: tetragonal
# Uncorrected formation energy: -1833 meV per atom
# Polymorph energy (0 for the lowest one): 0.0 meV per atom
# E_tot: -0.1601 hartree per atom
# Size of the total moment: 0.00 Bohr magnetons per cell
data_CsLaSeBr2
_symmetry_space_group_name_H-M 'P 4/m m m'
_symmetry_Int_Tables_number 123
_symmetry_space_group_name_Hall '-P 4 2'
_cell_length_a 6.0041
_cell_length_b 6.0041
_cell_length_c 5.7418
_cell_angle_alpha 90.00
_cell_angle_beta 90.00
_cell_angle_gamma 90.00
loop_
_atom_site_label
_atom_site_type_symbol
_atom_site_fract_x
_atom_site_fract_y
_atom_site_fract_z
Cs1 Cs 0.0000 0.0000 0.0000
La1 La 0.5000 0.5000 0.5000
Se1 Se 0.5000 0.5000 0.0000
Br1 Br 0.0000 0.5000 0.5000